Entry 1:
VASP calculation (GGA-PBE) on an optimized crystal structure of CaSbRh.

symmetry	I4mm, No. 107
calculated total energy	-5.06	eV per atom

Lattice parameters (Å, degrees): 6.033 6.033 6.033 146.41 146.41 48.24
Atoms (fractional coordinates):
Ca 0.000 0.000 0.000
Sb 0.706 0.706 0.000
Rh 0.310 0.310 0.000

Entry 2:
VASP calculation (GGA-PBE) on an optimized crystal structure of Ta3SiW.

symmetry	Pm-3m, No. 221
calculated total energy	-9.13	eV per atom

Lattice parameters (Å, degrees): 4.851 4.851 4.851 90.00 90.00 90.00
Atoms (fractional coordinates):
Ta 0.000 0.000 0.500
Ta 0.000 0.500 0.000
Ta 0.500 0.000 0.000
Si 0.500 0.500 0.500
W 0.000 0.000 0.000

Entry 3:
VASP calculation (GGA-PBE) on an optimized crystal structure of LiZnS2N.

symmetry	P4/mmm, No. 123
calculated total energy	-2.97	eV per atom

Lattice parameters (Å, degrees): 4.537 4.537 3.544 90.00 90.00 90.00
Atoms (fractional coordinates):
Li 0.000 0.000 0.000
Zn 0.500 0.500 0.500
S 0.000 0.500 0.000
S 0.500 0.000 0.000
N 0.000 0.000 0.500

Entry 4:
VASP calculation (GGA-PBE) on an optimized crystal structure of Fe2Co5Mo.

E_form	9.56	kJ per mole of atoms
symmetry	Immm, No. 71

Lattice parameters (Å, degrees): 6.251 6.251 6.251 156.65 103.21 81.57
Atoms (fractional coordinates):
Fe 0.250 0.250 0.000
Fe 0.750 0.750 0.000
Co 0.000 0.000 0.000
Co 0.101 0.371 0.731
Co 0.360 0.629 0.731
Co 0.640 0.371 0.269
Co 0.899 0.629 0.269
Mo 0.500 0.000 0.500

Entry 5:
VASP calculation (GGA-PBE) on an optimized crystal structure of TbHo2ErTm.

E_form	39.06	kJ per mole of atoms
symmetry	Cmcm, No. 63

Lattice parameters (Å, degrees): 6.999 6.999 7.150 90.00 90.00 107.54
Atoms (fractional coordinates):
Tb 0.226 0.774 0.750
Tb 0.774 0.226 0.250
Ho 0.191 0.191 0.000
Ho 0.191 0.191 0.500
Ho 0.809 0.809 0.000
Ho 0.809 0.809 0.500
Er 0.223 0.777 0.250
Er 0.777 0.223 0.750
Tm 0.499 0.501 0.250
Tm 0.501 0.499 0.750

Entry 6:
VASP calculation (GGA-PBE) on an optimized crystal structure of Ba2YRh.

E_form	42.33	kJ per mole of atoms
symmetry	Fm-3m, No. 225

Lattice parameters (Å, degrees): 5.691 5.691 5.691 60.00 60.00 60.00
Atoms (fractional coordinates):
Ba 0.250 0.250 0.250
Ba 0.750 0.750 0.750
Y 0.000 0.000 0.000
Rh 0.500 0.500 0.500